Record 1
Ba2AgGe3Au4, optimized geometry, DFT PBE; DFT formation energy = -471 meV/atom
1.0
4.7563 0.0000 0.0000
0.0000 4.7563 0.0000
0.0000 0.0000 10.5542
Ba Ag Ge Au
2 1 3 4
Cartesian
0.0000 2.3782 2.6303
2.3782 0.0000 7.9239
2.3782 2.3782 0.0000
0.0000 0.0000 0.0000
0.0000 2.3782 6.5473
2.3782 0.0000 4.0070
0.0000 0.0000 5.2771
0.0000 2.3782 9.1523
2.3782 0.0000 1.4020
2.3782 2.3782 5.2771



Record 2
Here is an optimized crystal structure of Ba2AgH6Au from the Alexandria database. Energies are from PBE.

```
Ba2AgH6Au
1.0
0.0000 4.2111 4.2318
3.9877 0.0000 4.2318
3.9877 4.2111 0.0000
Ba Ag H Au
2 1 6 1
Cartesian
1.9939 2.1055 0.0000
1.9939 2.1055 4.2318
3.9877 4.2111 2.1182
3.9877 2.2754 2.1246
3.9877 4.2111 0.1839
3.9877 4.2111 4.0638
3.9877 6.1468 2.1246
5.7409 4.2111 6.3446
2.2345 4.2111 6.3446
3.9877 4.2111 6.3328
```



Record 3
Here is an optimized crystal structure of BaAgH6Au2 from the Alexandria database. Energies are from PBE.

```
BaAgH6Au2
1.0
3.9081 -5.6491 0.0000
3.9081 5.6491 0.0000
-1.8062 0.0000 6.2424
Ba Ag H Au
2 2 12 4
Cartesian
2.5534 3.9863 4.6818
3.4565 -3.9863 1.5606
3.4565 1.7518 1.5606
2.5534 -1.7518 4.6818
2.0769 3.2048 1.7692
1.3811 0.0693 0.3699
0.4780 -0.0693 3.4912
1.8901 1.7549 5.9595
3.2167 1.7549 3.4041
4.8362 3.2048 1.3520
1.1737 -3.2048 4.8904
2.7932 -1.7549 2.8383
4.1198 -1.7549 0.2829
5.5319 0.0693 2.7513
4.6288 -0.0693 5.8725
3.9331 -3.2048 4.4732
1.0424 0.9464 4.7031
1.9455 -0.9464 1.5819
4.0644 0.9464 4.6605
4.9675 -0.9464 1.5393
```



Record 4
Here is an optimized crystal structure of Ba2AgH6Au2 from the Alexandria database. Energies are from PBE.

```
Ba2AgH6Au2
1.0
5.2822 -2.7544 0.0000
5.2822 2.7544 0.0000
-3.5608 0.0000 6.0068
Ba Ag H Au
2 1 6 2
Cartesian
1.5008 0.0000 1.2493
5.5028 0.0000 4.7575
-1.7804 0.0000 3.0034
4.0381 1.5671 1.4372
2.9655 1.5671 4.5695
0.5132 0.0000 3.8246
6.4903 0.0000 2.1822
4.0381 -1.5671 1.4372
2.9655 -1.5671 4.5695
2.1495 0.0000 4.6111
4.8541 0.0000 1.3957
```



Record 5
Ba2AgHAu, optimized geometry, DFT PBE; polymorph energy (0 for the lowest one) = 2.3 kJ per mole of atoms
1.0
5.8280 0.0000 0.0000
0.0000 5.8280 0.0000
0.0000 0.0000 3.9917
Ba Ag H Au
2 1 1 1
Cartesian
0.0000 2.9140 0.0000
2.9140 0.0000 0.0000
0.0000 0.0000 1.9958
2.9140 2.9140 0.0000
2.9140 2.9140 1.9958



Record 6
Here is an optimized crystal structure of Ba6Ag2HAu from the Alexandria database. Energies are from PBE.

```
Ba6Ag2HAu
1.0
7.9159 0.0000 0.0000
0.0000 8.7640 0.0000
-7.8337 0.0000 11.6607
Ba Ag H Au
12 4 2 2
Cartesian
-1.0898 0.2874 2.8091
-5.0066 4.0946 8.6394
1.2763 5.9873 0.7674
-2.6405 7.1587 6.5978
2.5370 1.5221 0.7599
-1.3798 2.8599 6.5902
1.4621 5.9041 5.0705
-2.4547 7.2420 10.9008
2.7227 1.6053 5.0629
-1.1941 2.7767 10.8933
5.0888 4.6694 3.0213
1.1720 8.4767 8.8517
-3.4745 1.0028 8.7552
0.4424 3.3792 2.9249
-0.3601 5.3848 8.7358
3.5567 7.7613 2.9055
0.0000 0.0000 0.0000
-3.9168 4.3820 5.8304
0.0411 0.0000 5.8304
3.9580 4.3820 0.0000
```



Record 7
Ba2AgHAu, optimized geometry, DFT PBE; polymorph energy (0 for the lowest one) = 0.0 kJ per mole of atoms
1.0
5.7246 0.0000 0.0000
0.0000 5.7246 0.0000
0.0000 0.0000 4.1088
Ba Ag H Au
2 1 1 1
Cartesian
0.0000 2.8623 0.0000
2.8623 0.0000 0.0000
0.0000 0.0000 2.0544
0.0000 0.0000 0.0000
2.8623 2.8623 2.0544



Record 8
Here is an optimized crystal structure of Ba8AgHAu2 from the Alexandria database. Energies are from PBE.

```
Ba8AgHAu2
1.0
7.5357 0.0000 0.0000
0.0000 9.5514 0.0000
-0.0921 0.0000 7.8828
Ba Ag H Au
8 1 1 2
Cartesian
1.7180 0.0000 2.6328
1.7816 4.7757 2.5148
1.9219 2.5706 6.5753
1.9219 6.9807 6.5753
5.5217 2.5706 1.3076
5.5217 6.9807 1.3076
5.6619 4.7757 5.3680
5.7256 0.0000 5.2501
3.7679 0.0000 0.0000
3.7679 4.7757 0.0000
-0.0461 2.4530 3.9414
-0.0461 7.0984 3.9414
```



Number 1: V 23.9 Å³/atom, uncorrected energy -3.84 eV/atom. Number 2: V 14.2 Å³/atom, uncorrected energy -3.30 eV/atom. Number 3: V 13.8 Å³/atom, uncorrected energy -3.19 eV/atom. Number 4: V 15.9 Å³/atom, uncorrected energy -3.28 eV/atom. Number 5: V 27.1 Å³/atom, uncorrected energy -3.04 eV/atom. Number 6: V 40.4 Å³/atom, uncorrected energy -2.70 eV/atom. Number 7: V 26.9 Å³/atom, uncorrected energy -3.06 eV/atom. Number 8: V 47.3 Å³/atom, uncorrected energy -2.68 eV/atom.